(1)
Density functional theory data (PBE-GGA) for a relaxed Nd2SiPd4Au2 crystal.

Cell lengths 6.339, 6.339, 6.339 Å; angles 120.99, 120.99, 88.29 degrees
Positions (direct):
Nd: 0.250 0.750 0.500
Nd: 0.750 0.250 0.500
Si: 0.000 0.000 0.000
Pd: 0.269 0.269 0.538
Pd: 0.269 0.731 0.000
Pd: 0.731 0.269 0.000
Pd: 0.731 0.731 0.462
Au: 0.276 0.276 0.000
Au: 0.724 0.724 0.000

Values from the calculation:
* total magnetic moment: 0.000 μB/cell
* space-group type: I4/mmm (139)
* formation energy (no corrections): -0.7149 eV/atom

(2)
Density functional theory data (PBE-GGA) for a relaxed Ac2Cd3Si2 crystal.

Cell lengths 11.229, 11.229, 4.348 Å; angles 90.00, 90.00, 159.55 degrees
Positions (direct):
Ac: 0.166 0.834 0.000
Ac: 0.834 0.166 0.000
Cd: 0.000 0.000 0.000
Cd: 0.433 0.567 0.500
Cd: 0.567 0.433 0.500
Si: 0.280 0.720 0.500
Si: 0.720 0.280 0.500

Values from the calculation:
* total magnetic moment: 0.000 μB/cell
* space-group type: Cmmm (65)
* formation energy (no corrections): -0.3620 eV/atom
* excess energy over the best structure of this formula in the dataset: 0.000 eV per atom

(3)
Density functional theory data (PBE-GGA) for a relaxed Y2Zn12Cu5 crystal.

Cell lengths 6.687, 6.687, 6.687 Å; angles 82.69, 82.69, 82.69 degrees
Positions (direct):
Y: 0.164 0.164 0.164
Y: 0.836 0.836 0.836
Zn: 0.153 0.153 0.648
Zn: 0.153 0.648 0.153
Zn: 0.210 0.500 0.790
Zn: 0.210 0.790 0.500
Zn: 0.352 0.847 0.847
Zn: 0.500 0.210 0.790
Zn: 0.500 0.790 0.210
Zn: 0.648 0.153 0.153
Zn: 0.790 0.210 0.500
Zn: 0.790 0.500 0.210
Zn: 0.847 0.352 0.847
Zn: 0.847 0.847 0.352
Cu: 0.000 0.500 0.500
Cu: 0.399 0.399 0.399
Cu: 0.500 0.000 0.500
Cu: 0.500 0.500 0.000
Cu: 0.601 0.601 0.601

Values from the calculation:
* total magnetic moment: 0.000 μB/cell
* space-group type: R-3m (166)
* energy relative to the elements: -237 meV/atom